Density functional theory data (PBE) for a relaxed Nb3Ni5Sb5 crystal.

Geometry as extended XYZ:
```
13
Lattice="-2.438 5.448 0.288 -1.319 2.335 6.677 4.804 5.406 0.405" Properties=species:S:1:pos:R:3 pbc="T T T"
Nb -1.967 4.395 0.232
Nb -0.795 4.669 4.180
Nb 2.816 6.343 3.075
Ni -0.889 3.189 2.159
Ni -2.160 8.851 6.320
Ni 0.473 6.706 3.691
Ni 2.969 4.869 1.078
Ni 1.620 10.704 5.248
Sb -0.748 1.672 0.088
Sb -1.871 7.460 4.226
Sb 0.497 5.351 1.495
Sb 1.552 5.598 5.757
Sb 1.455 8.997 3.317
```

Results
* crystal system: monoclinic
* E_tot: -6.361 eV/atom